# 1
# Rb2CaCd10 | Alexandria | PBE | optimized geometry
data_Rb2CaCd10
_chemical_formula_sum 'Rb4 Ca2 Cd20'
_space_group_name_H-M_alt 'P b a m'
_space_group_IT_number 55
_space_group_name_Hall '-P 2 2ab'
_cell_length_a 6.016
_cell_length_b 20.879
_cell_length_c 7.201
_cell_angle_alpha 90.00
_cell_angle_beta 90.00
_cell_angle_gamma 90.00
loop_
_atom_site_label
_atom_site_fract_x
_atom_site_fract_y
_atom_site_fract_z
Rb1 0.191 0.182 0.000
Ca1 0.000 0.500 0.500
Cd1 0.004 0.068 0.500
Cd2 0.116 0.654 0.500
Cd3 0.124 0.791 0.500
Cd4 0.193 0.393 0.197
# energy relative to the elements	5	meV per atom
# spin magnetization	0.00	Bohr magnetons per cell



# 2
# RbCaCd2 | Alexandria | PBE | optimized geometry
data_RbCaCd2
_chemical_formula_sum 'Rb1 Ca1 Cd2'
_space_group_name_H-M_alt 'P 4/m m m'
_space_group_IT_number 123
_space_group_name_Hall '-P 4 2'
_cell_length_a 4.107
_cell_length_b 4.107
_cell_length_c 8.607
_cell_angle_alpha 90.00
_cell_angle_beta 90.00
_cell_angle_gamma 90.00
loop_
_atom_site_label
_atom_site_fract_x
_atom_site_fract_y
_atom_site_fract_z
Rb1 0.000 0.000 0.000
Ca1 0.000 0.000 0.500
Cd1 0.500 0.500 0.315
# energy relative to the elements	-118	meV per atom
# spin magnetization	0.00	Bohr magnetons per cell
# E above lowest polymorph	0.000	eV/atom



# 3
# RbCa2Cd | Alexandria | PBE | optimized geometry
data_RbCa2Cd
_chemical_formula_sum 'Rb1 Ca2 Cd1'
_space_group_name_H-M_alt 'P 4/m m m'
_space_group_IT_number 123
_space_group_name_Hall '-P 4 2'
_cell_length_a 3.926
_cell_length_b 3.926
_cell_length_c 11.137
_cell_angle_alpha 90.00
_cell_angle_beta 90.00
_cell_angle_gamma 90.00
loop_
_atom_site_label
_atom_site_fract_x
_atom_site_fract_y
_atom_site_fract_z
Rb1 0.000 0.000 0.000
Ca1 0.500 0.500 0.334
Cd1 0.000 0.000 0.500
# energy relative to the elements	-69	meV per atom
# spin magnetization	0.00	Bohr magnetons per cell



# 4
# RbCaCd3 | Alexandria | PBE | optimized geometry
data_RbCaCd3
_chemical_formula_sum 'Rb1 Ca1 Cd3'
_space_group_name_H-M_alt 'P m -3 m'
_space_group_IT_number 221
_space_group_name_Hall '-P 4 2 3'
_cell_length_a 6.215
_cell_length_b 6.215
_cell_length_c 6.215
_cell_angle_alpha 90.00
_cell_angle_beta 90.00
_cell_angle_gamma 90.00
loop_
_atom_site_label
_atom_site_fract_x
_atom_site_fract_y
_atom_site_fract_z
Rb1 0.000 0.000 0.000
Ca1 0.500 0.500 0.500
Cd1 0.000 0.000 0.500
# energy relative to the elements	553	meV per atom
# spin magnetization	0.00	Bohr magnetons per cell
# E above lowest polymorph	0.371	eV/atom



# 5
# Rb2Ca2Cd | Alexandria | PBE | optimized geometry
data_Rb2Ca2Cd
_chemical_formula_sum 'Rb4 Ca4 Cd2'
_space_group_name_H-M_alt 'P 4/m b m'
_space_group_IT_number 127
_space_group_name_Hall '-P 4 2ab'
_cell_length_a 8.474
_cell_length_b 8.474
_cell_length_c 7.344
_cell_angle_alpha 90.00
_cell_angle_beta 90.00
_cell_angle_gamma 90.00
loop_
_atom_site_label
_atom_site_fract_x
_atom_site_fract_y
_atom_site_fract_z
Rb1 0.179 0.321 0.000
Ca1 0.164 0.664 0.500
Cd1 0.000 0.000 0.500
# energy relative to the elements	122	meV per atom
# spin magnetization	0.00	Bohr magnetons per cell



# 6
# RbCaCd3 | Alexandria | PBE | optimized geometry
data_RbCaCd3
_chemical_formula_sum 'Rb1 Ca1 Cd3'
_space_group_name_H-M_alt 'P m -3 m'
_space_group_IT_number 221
_space_group_name_Hall '-P 4 2 3'
_cell_length_a 6.136
_cell_length_b 6.136
_cell_length_c 6.136
_cell_angle_alpha 90.00
_cell_angle_beta 90.00
_cell_angle_gamma 90.00
loop_
_atom_site_label
_atom_site_fract_x
_atom_site_fract_y
_atom_site_fract_z
Rb1 0.000 0.000 0.000
Ca1 0.500 0.500 0.500
Cd1 0.000 0.500 0.500
# energy relative to the elements	182	meV per atom
# spin magnetization	0.00	Bohr magnetons per cell
# E above lowest polymorph	0.000	eV/atom